This record from Alexandria describes a geometry-optimized ZrFePt2 structure. The functional is GGA-PBE.

Cell and atoms, written as CIF:
```
data_ZrFePt2
_chemical_formula_sum 'Zr4 Fe4 Pt8'
_symmetry_space_group_name_H-M 'F m -3 m'
_symmetry_Int_Tables_number 225
_symmetry_space_group_name_Hall '-F 4 2 3'
_cell_length_a 6.451
_cell_length_b 6.451
_cell_length_c 6.451
_cell_angle_alpha 90.00
_cell_angle_beta 90.00
_cell_angle_gamma 90.00
loop_
_atom_site_label
_atom_site_type_symbol
_atom_site_fract_x
_atom_site_fract_y
_atom_site_fract_z
Zr1 Zr 0.000 0.000 0.000
Fe1 Fe 0.000 0.000 0.500
Pt1 Pt 0.250 0.250 0.250
```



# Zr2FePt | Alexandria | GGA-PBE | relaxed
# energy relative to the lowest polymorph listed for this composition = 306.3 meV/atom
data_Zr2FePt
_chemical_formula_sum 'Zr6 Fe3 Pt3'
_symmetry_space_group_name_H-M 'R -3 m'
_symmetry_Int_Tables_number 166
_symmetry_space_group_name_Hall '-R 3 2"'
_cell_length_a 3.4163
_cell_length_b 3.4163
_cell_length_c 22.1624
_cell_angle_alpha 90.00
_cell_angle_beta 90.00
_cell_angle_gamma 120.00
loop_
_atom_site_label
_atom_site_type_symbol
_atom_site_fract_x
_atom_site_fract_y
_atom_site_fract_z
Zr1 Zr 0.0000 0.0000 0.2434
Fe1 Fe 0.0000 0.0000 0.5000
Pt1 Pt 0.0000 0.0000 0.0000



# Zr2FePt | Alexandria | GGA-PBE | relaxed
# energy relative to the lowest polymorph listed for this composition = 211.1 meV/atom
data_Zr2FePt
_chemical_formula_sum 'Zr8 Fe4 Pt4'
_symmetry_space_group_name_H-M 'F -4 3 m'
_symmetry_Int_Tables_number 216
_symmetry_space_group_name_Hall 'F -4 2 3'
_cell_length_a 6.511
_cell_length_b 6.511
_cell_length_c 6.511
_cell_angle_alpha 90.00
_cell_angle_beta 90.00
_cell_angle_gamma 90.00
loop_
_atom_site_label
_atom_site_type_symbol
_atom_site_fract_x
_atom_site_fract_y
_atom_site_fract_z
Zr1 Zr 0.000 0.000 0.000
Zr2 Zr 0.250 0.250 0.250
Fe1 Fe 0.000 0.000 0.500
Pt1 Pt 0.250 0.250 0.750



# Zr2FePt | Alexandria | GGA-PBE | relaxed
# energy relative to the lowest polymorph listed for this composition = 767.8 meV/atom
data_Zr2FePt
_chemical_formula_sum 'Zr8 Fe4 Pt4'
_symmetry_space_group_name_H-M 'I -4 2 d'
_symmetry_Int_Tables_number 122
_symmetry_space_group_name_Hall 'I -4 2bw'
_cell_length_a 4.187
_cell_length_b 4.187
_cell_length_c 18.115
_cell_angle_alpha 90.00
_cell_angle_beta 90.00
_cell_angle_gamma 90.00
loop_
_atom_site_label
_atom_site_type_symbol
_atom_site_fract_x
_atom_site_fract_y
_atom_site_fract_z
Zr1 Zr 0.245 0.250 0.125
Fe1 Fe 0.000 0.000 0.000
Pt1 Pt 0.000 0.000 0.500



This record from Alexandria describes a geometry-optimized Zr8Fe2Pt structure. The functional is GGA-PBE.

Cell and atoms, written as CIF:
```
data_Zr8Fe2Pt
_chemical_formula_sum 'Zr16 Fe4 Pt2'
_symmetry_space_group_name_H-M 'C 1 2/m 1'
_symmetry_Int_Tables_number 12
_cell_length_a 7.524
_cell_length_b 12.269
_cell_length_c 5.148
_cell_angle_alpha 90.00
_cell_angle_beta 108.28
_cell_angle_gamma 90.00
loop_
_symmetry_equiv_pos_as_xyz
'x,y,z'
'-x,-y,-z'
'-x,y,-z'
'x,-y,z'
'x+1/2,y+1/2,z'
'-x+1/2,-y+1/2,-z'
'-x+1/2,y+1/2,-z'
'x+1/2,-y+1/2,z'
loop_
_atom_site_label
_atom_site_type_symbol
_atom_site_fract_x
_atom_site_fract_y
_atom_site_fract_z
Zr1 Zr 0.000 0.236 0.000
Zr2 Zr 0.118 0.500 0.827
Zr3 Zr 0.211 0.123 0.561
Fe1 Fe 0.000 0.291 0.500
Pt1 Pt 0.000 0.000 0.000
```



This record from Alexandria describes a geometry-optimized ZrFePt2 structure. The functional is GGA-PBE.

Cell and atoms, written as CIF:
```
data_ZrFePt2
_chemical_formula_sum 'Zr1 Fe1 Pt2'
_symmetry_space_group_name_H-M 'P 4 m m'
_symmetry_Int_Tables_number 99
_cell_length_a 3.428
_cell_length_b 3.428
_cell_length_c 5.679
_cell_angle_alpha 90.00
_cell_angle_beta 90.00
_cell_angle_gamma 90.00
loop_
_symmetry_equiv_pos_as_xyz
'x,y,z'
'-y,x,z'
'-x,-y,z'
'y,-x,z'
'-x,y,z'
'y,x,z'
'x,-y,z'
'-y,-x,z'
loop_
_atom_site_label
_atom_site_type_symbol
_atom_site_fract_x
_atom_site_fract_y
_atom_site_fract_z
Zr1 Zr 0.000 0.000 0.000
Fe1 Fe 0.500 0.500 0.290
Pt1 Pt 0.000 0.000 0.479
Pt2 Pt 0.500 0.500 0.765
```



This record from Alexandria describes a geometry-optimized ZrFe3Pt6 structure. The functional is GGA-PBE.

Cell and atoms, written as CIF:
```
data_ZrFe3Pt6
_chemical_formula_sum 'Zr2 Fe6 Pt12'
_symmetry_space_group_name_H-M 'P 1 21/m 1'
_symmetry_Int_Tables_number 11
_cell_length_a 8.717
_cell_length_b 3.946
_cell_length_c 8.908
_cell_angle_alpha 90.00
_cell_angle_beta 91.45
_cell_angle_gamma 90.00
loop_
_symmetry_equiv_pos_as_xyz
'x,y,z'
'-x,-y,-z'
'-x,y+1/2,-z'
'x,-y+1/2,z'
loop_
_atom_site_label
_atom_site_type_symbol
_atom_site_fract_x
_atom_site_fract_y
_atom_site_fract_z
Zr1 Zr 0.065 0.250 0.380
Fe1 Fe 0.257 0.250 0.998
Fe2 Fe 0.347 0.750 0.806
Fe3 Fe 0.446 0.250 0.608
Pt1 Pt 0.061 0.750 0.906
Pt2 Pt 0.155 0.250 0.704
Pt3 Pt 0.161 0.750 0.199
Pt4 Pt 0.261 0.750 0.508
Pt5 Pt 0.375 0.250 0.306
Pt6 Pt 0.460 0.750 0.100
```



# Zr2FePt | Alexandria | GGA-PBE | relaxed
# energy relative to the lowest polymorph listed for this composition = 898.3 meV/atom
data_Zr2FePt
_chemical_formula_sum 'Zr4 Fe2 Pt2'
_symmetry_space_group_name_H-M 'I m m m'
_symmetry_Int_Tables_number 71
_symmetry_space_group_name_Hall '-I 2 2'
_cell_length_a 2.885
_cell_length_b 5.093
_cell_length_c 10.184
_cell_angle_alpha 90.00
_cell_angle_beta 90.00
_cell_angle_gamma 90.00
loop_
_atom_site_label
_atom_site_type_symbol
_atom_site_fract_x
_atom_site_fract_y
_atom_site_fract_z
Zr1 Zr 0.000 0.000 0.240
Fe1 Fe 0.000 0.000 0.000
Pt1 Pt 0.000 0.000 0.500



Number 1: E_form -0.528 eV/atom. Number 2: E_form -0.258 eV/atom. Number 3: E_form -0.353 eV/atom. Number 4: E_form 0.203 eV/atom. Number 5: E_form -0.154 eV/atom. Number 6: E_form -0.528 eV/atom. Number 7: E_form -0.445 eV/atom. Number 8: E_form 0.334 eV/atom.